Pm2NpPN5 PBE relaxed; N(E_F) = 10.044 states/eV/cell; total magnetization = 4.20 Bohr magnetons per cell; density = 8.32 g/cm³; energy relative to the elements, uncorrected = -0.982 eV/atom; space-group type = No. 36; raw total energy = -8.702 eV/atom
1.0
-2.972 -0.724 1.526
0.003 -4.154 -5.795
4.718 -7.709 5.528
Pm Np P N
4 2 2 10
Direct
0.861 0.723 0.840
0.112 0.224 0.680
0.139 0.277 0.340
0.888 0.776 0.180
0.811 0.621 0.539
0.189 0.379 0.039
0.548 0.096 0.917
0.452 0.904 0.417
0.337 0.673 0.017
0.667 0.334 0.879
0.489 0.979 0.784
0.292 0.585 0.675
0.974 0.949 0.493
0.663 0.327 0.517
0.333 0.666 0.379
0.511 0.021 0.284
0.708 0.415 0.175
0.026 0.051 0.993

***

Cr2CoSi PBE relaxed; N(E_F) = 2.899 states/eV/cell; total magnetization = 0.85 Bohr magnetons per cell; density = 6.93 g/cm³; energy relative to the elements, uncorrected = -0.184 eV/atom; space-group type = No. 44; raw total energy = -8.127 eV/atom
1.0
4.576 0.001 -0.001
1.876 4.174 0.001
-2.870 -2.638 2.398
Co Cr Si
1 2 1
Direct
0.256 0.756 0.500
0.994 0.994 0.000
0.755 0.255 0.500
0.495 0.495 0.000

***

TaTlW PBE relaxed; N(E_F) = 1.071 states/eV/cell; total magnetization = 0.00 Bohr magnetons per cell; density = 16.82 g/cm³; formation energy = 0.66 eV/atom; space-group type = No. 44; polymorph energy (0 for the lowest one) = 0.294 eV per atom; raw total energy = -8.396 eV/atom
1.0
5.153 -0.006 0.002
2.443 4.538 -0.002
-3.230 -3.218 2.402
Ta Tl W
1 1 1
Direct
0.001 0.001 0.000
0.333 0.333 0.000
0.666 0.666 0.000